# 1
Nd8P3S4O: optimized geometry, GGA-PBE.

The uncorrected formation energy is -185.82 kJ per mole of atoms. The value obtained for the total energy is -6.67 eV per atom. The density of states at the Fermi level is 0.447 states/eV/atom. For the spin magnetization, the calculation gives 0.00 μB per cell. The value obtained for the mass density is 6.10 g cm⁻³.

The structure in extended XYZ format:
```
16
Lattice="-3.7365 -6.3325 -3.3649 3.9811 1.3618 -6.9836 4.1604 -0.9423 6.8692" Properties=species:S:1:pos:R:3 pbc="T T T"
O 1.9905 0.6809 -3.4918
Nd 4.2373 -4.7265 -0.8355
Nd 6.1699 -1.4512 0.9049
Nd 2.1749 -1.7223 0.8261
Nd 4.0204 -0.9657 -2.6470
Nd 0.3846 -4.9473 -0.8323
Nd -1.7649 -4.4618 -4.3843
Nd 2.2301 -4.1907 -4.3055
Nd 0.1677 -1.1865 -2.6439
P 2.2025 -2.9565 -1.7397
P 0.1223 -2.4853 -5.1742
P 4.0708 0.2097 -0.0572
S 0.0000 0.0000 0.0000
S 0.2120 -3.6374 1.7521
S -1.8683 -3.1662 -1.6824
S 2.0802 -0.4712 3.4346
```

***

# 2
Nd6P3S2O: optimized geometry, GGA-PBE.

The uncorrected formation energy is -181.68 kJ per mole of atoms. The value obtained for the total energy is -6.72 eV per atom. The density of states at the Fermi level is 0.329 states/eV/atom. For the spin magnetization, the calculation gives 0.00 μB per cell. The value obtained for the mass density is 6.12 g cm⁻³.

The structure in extended XYZ format:
```
12
Lattice="-0.8062 -1.0384 -3.8447 6.9160 -4.1951 -0.3172 -5.3943 -5.4595 4.7527" Properties=species:S:1:pos:R:3 pbc="T T T"
S 0.3326 -7.3260 -0.2383
S 0.3830 -3.3669 0.8290
Nd 5.2506 -3.2319 -0.2281
Nd 2.4272 -7.9728 1.6443
Nd 1.7462 -4.9627 -1.1729
Nd -1.7117 -2.7202 -1.0535
Nd -1.0306 -5.7303 1.7637
Nd -4.5350 -7.4610 0.8189
P 3.8216 -5.5341 0.6933
P 3.0549 -2.6167 -2.0809
P -3.1060 -5.1589 -0.1025
O -0.4031 -0.5192 -1.9224
```

***

# 3
Nd4SbP2O: optimized geometry, GGA-PBE.

The uncorrected formation energy is -169.66 kJ per mole of atoms. The value obtained for the total energy is -6.63 eV per atom. The density of states at the Fermi level is 0.388 states/eV/atom. For the spin magnetization, the calculation gives 0.00 μB per cell. The value obtained for the mass density is 6.15 g cm⁻³.

The structure in extended XYZ format:
```
16
Lattice="-1.0692 3.2475 2.4123 2.6787 -5.0947 4.4169 13.2168 5.5503 -1.6135" Properties=species:S:1:pos:R:3 pbc="T T T"
O 10.8356 3.4268 3.8187
O 3.9907 0.2763 1.3970
P 5.9091 3.1631 1.9900
P 14.0518 2.6962 2.5989
P 0.7745 1.0069 2.6168
P 8.9172 0.5399 3.2257
Nd 3.0916 2.4900 1.6472
Nd 2.7237 -1.1457 2.7497
Nd 6.6084 2.7751 -0.8068
Nd 0.0000 0.0000 0.0000
Nd 12.1025 4.8487 2.4660
Nd 11.7347 1.2130 3.5684
Nd 6.1306 0.2850 2.3338
Nd 8.6957 3.4181 2.8819
Sb 4.4559 0.2814 5.2253
Sb 10.3704 3.4217 -0.0096
```

***

# 4
Nd4PSe2O: optimized geometry, GGA-PBE.

The uncorrected formation energy is -187.14 kJ per mole of atoms. The value obtained for the total energy is -6.49 eV per atom. The density of states at the Fermi level is 0.407 states/eV/atom. For the spin magnetization, the calculation gives 0.00 μB per cell. The value obtained for the mass density is 6.81 g cm⁻³.

The structure in extended XYZ format:
```
8
Lattice="4.0240 0.0000 0.0000 0.0000 6.9160 0.1054 0.0000 -2.4354 6.8176" Properties=species:S:1:pos:R:3 pbc="T T T"
Nd 2.0120 1.0422 1.4651
Nd 2.0120 3.4384 5.4579
Nd 0.0000 -0.2228 5.3652
Nd 0.0000 4.7033 1.5578
P 2.0120 3.4580 0.0527
Se 2.0120 -1.2177 3.4088
Se 0.0000 2.2403 3.4615
O 0.0000 0.0000 0.0000
```

***

# 5
SrNdP2O8: optimized geometry, GGA-PBE.

The uncorrected formation energy is -253.10 kJ per mole of atoms. The value obtained for the total energy is -7.37 eV per atom. The density of states at the Fermi level is 0.739 states/eV/atom. For the spin magnetization, the calculation gives 1.04 μB per cell. The value obtained for the mass density is 3.60 g cm⁻³.

The structure in extended XYZ format:
```
12
Lattice="-4.8481 -2.2682 1.0737 3.6953 -2.7263 -2.9520 2.8091 -3.0195 6.3052" Properties=species:S:1:pos:R:3 pbc="T T T"
O 1.9274 -5.8561 2.7824
O -1.9700 -2.4535 -0.2001
O 4.1788 -4.8108 2.2800
O -0.8136 -4.4745 0.7768
O -0.2711 -2.1580 1.6445
O -2.5225 -3.2033 2.1469
O 2.4699 -3.5395 3.6501
O 3.6263 -5.5605 4.6270
Sr 0.0000 0.0000 0.0000
P -1.3932 -3.0735 1.0946
P 3.0495 -4.9405 3.3323
Nd 1.4046 -1.5098 3.1526
```

***

# 6
TbNdP2O8: optimized geometry, GGA-PBE.

The uncorrected formation energy is -279.29 kJ per mole of atoms. The value obtained for the total energy is -7.88 eV per atom. The density of states at the Fermi level is 0.000 states/eV/atom. For the spin magnetization, the calculation gives 0.00 μB per cell. The value obtained for the mass density is 4.72 g cm⁻³.

The structure in extended XYZ format:
```
12
Lattice="-1.6088 0.4109 -5.0126 2.9721 -4.1020 1.4912 -5.9326 -3.7170 1.5994" Properties=species:S:1:pos:R:3 pbc="T T T"
Tb -2.9663 -1.8585 0.7997
O -3.5360 -4.0409 0.8037
O -1.0333 -3.3672 -2.7257
O -2.8832 -5.8086 -0.8828
O -5.9534 -4.7722 -1.2617
O -2.1126 -6.0055 1.5178
O 1.3841 -2.6360 -0.6603
O -2.4567 -1.4027 -3.4398
O -1.6862 -1.5995 -1.0392
P -1.2832 -1.8461 -2.5208
P -3.2861 -5.5620 0.5988
Nd 0.0000 0.0000 0.0000
```

***

# 7
NdTlP2O6: optimized geometry, GGA-PBE.

The uncorrected formation energy is -224.91 kJ per mole of atoms. The value obtained for the total energy is -7.10 eV per atom. The density of states at the Fermi level is 0.000 states/eV/atom. For the spin magnetization, the calculation gives 0.00 μB per cell. The value obtained for the mass density is 4.33 g cm⁻³.

The structure in extended XYZ format:
```
20
Lattice="6.7686 -0.9932 -1.1550 -1.8144 6.5961 -1.1550 -2.6945 -3.0473 10.3216" Properties=species:S:1:pos:R:3 pbc="T T T"
O 3.0485 -1.0221 1.5382
O 1.9291 1.7323 6.1017
O -2.7349 1.3768 6.6990
O -0.7887 3.5778 6.4734
O -0.4639 -1.9831 9.4566
O -0.5705 -1.0947 7.0708
O 0.3307 0.8234 1.9100
O -0.5641 0.8204 4.2958
O 2.8303 3.6503 0.9409
O 4.9947 1.1789 1.3127
O 2.7237 4.5387 -1.4449
O 2.8239 1.7352 3.7159
Nd -0.3322 1.2132 6.5862
Nd 2.5920 1.3425 1.4254
Tl -1.0181 4.5346 1.4254
Tl 3.2778 -1.9789 6.5862
P -0.3231 -2.3273 7.9712
P 2.5828 4.8829 0.0404
P -0.9229 0.9181 2.8104
P 3.1827 1.6376 5.2012
```

***

# 8
NdTmP2O8: optimized geometry, GGA-PBE.

The uncorrected formation energy is -281.68 kJ per mole of atoms. The value obtained for the total energy is -7.90 eV per atom. The density of states at the Fermi level is 0.000 states/eV/atom. For the spin magnetization, the calculation gives 0.00 μB per cell. The value obtained for the mass density is 4.93 g cm⁻³.

The structure in extended XYZ format:
```
12
Lattice="5.2527 0.0000 0.0000 -2.6264 4.5489 0.0000 0.0000 0.0000 7.0852" Properties=species:S:1:pos:R:3 pbc="T T T"
Tm 0.0000 0.0000 3.5426
O 0.0000 3.0326 0.0543
O 2.6219 2.9764 2.0052
O 1.2622 3.7665 5.0800
O 2.6263 1.5163 7.0309
O -1.2666 3.7588 5.0800
O 3.8930 0.7901 2.0052
O 0.0044 1.5726 5.0800
O 1.3641 0.7825 2.0052
P 2.6263 1.5163 1.4750
P 0.0000 3.0326 5.6102
Nd 0.0000 0.0000 0.0000
```